No. 1
# PBE-GGA Zn2FeP, relaxed
# raw total energy	-3.943	eV/atom
# energy of formation from the pure elements	0.162	eV per atom
data_Zn2FeP
_chemical_formula_sum 'Zn2 Fe1 P1'
_symmetry_space_group_name_H-M 'P 4/m m m'
_symmetry_Int_Tables_number 123
_symmetry_space_group_name_Hall '-P 4 2'
_cell_length_a 3.658
_cell_length_b 3.658
_cell_length_c 4.010
_cell_angle_alpha 90.00
_cell_angle_beta 90.00
_cell_angle_gamma 90.00
loop_
_atom_site_label
_atom_site_fract_x
_atom_site_fract_y
_atom_site_fract_z
Zn1 0.000 0.500 0.000
Fe1 0.000 0.000 0.500
P1 0.500 0.500 0.500

---

No. 2
# PBE-GGA Zn2FeP, relaxed
# raw total energy	-3.867	eV/atom
# energy of formation from the pure elements	0.238	eV per atom
data_Zn2FeP
_chemical_formula_sum 'Zn6 Fe3 P3'
_symmetry_space_group_name_H-M 'R -3 m'
_symmetry_Int_Tables_number 166
_symmetry_space_group_name_Hall '-R 3 2"'
_cell_length_a 2.7981
_cell_length_b 2.7981
_cell_length_c 25.0037
_cell_angle_alpha 90.00
_cell_angle_beta 90.00
_cell_angle_gamma 120.00
loop_
_atom_site_label
_atom_site_fract_x
_atom_site_fract_y
_atom_site_fract_z
Zn1 0.0000 0.0000 0.2476
Fe1 0.0000 0.0000 0.5000
P1 0.0000 0.0000 0.0000